The following is a DFT calculation (GGA-PBE) of a relaxed structure of SrNb2ZnPd.

Cell and atoms, written as extended XYZ:
```
5
Lattice="-4.8829 -0.2725 -0.1777 0.0154 -2.8812 3.9970 -0.3249 3.9605 2.8561" Properties=species:S:1:pos:R:3 pbc="T T T"
Sr -2.5962 0.4034 3.3377
Nb -0.1625 1.9802 1.4281
Nb -2.4414 -0.1362 -0.0888
Zn 0.0000 0.0000 0.0000
Pd 0.0077 -1.4406 1.9985
```

space-group type = P4/mmm (123)
final energy = -4.795 eV per atom
ΔH_f (0 K) = 0.863 eV/atom